Material: Ag6Pd5Au
Method: DFT, PBE
State: optimized geometry

* magnetic moment: 0.00 μB per cell
* DOS(E_F): 4.72 states/eV/f.u.
* space-group type: C2/m, No. 12
* formation energy from the elements: -0.68 eV per formula unit

Cell lengths 4.978, 6.415, 6.415 Å; angles 84.09, 82.47, 82.47 degrees
Fractional positions:
Ag 0.749 0.419 0.084
Ag 0.748 0.748 0.748
Ag 0.251 0.581 0.916
Ag 0.252 0.252 0.252
Ag 0.251 0.916 0.581
Ag 0.749 0.084 0.419
Pd 0.500 0.168 0.832
Pd 0.000 0.666 0.334
Pd 0.500 0.500 0.500
Pd 0.000 0.334 0.666
Pd 0.500 0.832 0.168
Au 0.000 0.000 0.000